Record 1
GGA-PBE Ca2Bi2Au, relaxed; N(E_F) = 3.0 states/eV/cell; formation energy from the elements = -0.409 eV/atom
1.0
-3.1349 3.1349 4.4601
3.1349 -3.1349 4.4601
3.1349 3.1349 -4.4601
Ca Bi Au
2 2 1
Direct
0.2500 0.7500 0.5000
0.7500 0.2500 0.5000
0.1810 0.1810 0.0000
0.8190 0.8190 0.0000
0.5000 0.5000 0.0000

***

Record 2
GGA-PBE Ca2Bi2Au, relaxed; N(E_F) = 4.8 states/eV/cell; formation energy from the elements = -0.557 eV/atom
1.0
7.9457 0.0000 0.0000
0.0000 7.9457 0.0000
0.0000 0.0000 4.7143
Ca Bi Au
4 4 2
Direct
0.1650 0.3350 0.0000
0.3350 0.8350 0.0000
0.6650 0.1650 0.0000
0.8350 0.6650 0.0000
0.1457 0.6457 0.5000
0.3543 0.1457 0.5000
0.6457 0.8543 0.5000
0.8543 0.3543 0.5000
0.0000 0.0000 0.5000
0.5000 0.5000 0.5000

***

Record 3
GGA-PBE Ca8Bi5Au, relaxed; formation energy from the elements = -0.848 eV/atom
1.0
-4.8184 4.8184 4.8300
4.8184 -4.8184 4.8300
4.8184 4.8184 -4.8300
Ca Bi Au
8 5 1
Direct
0.1223 0.2255 0.7548
0.1400 0.7435 0.7571
0.2565 0.0137 0.3965
0.4707 0.3674 0.2452
0.6171 0.8600 0.6035
0.6326 0.8777 0.1033
0.7745 0.5293 0.8967
0.9863 0.3829 0.2429
0.0000 0.0000 0.0000
0.2519 0.6321 0.1179
0.3679 0.4858 0.6199
0.5142 0.1340 0.8821
0.8660 0.7481 0.3801
0.7500 0.2500 0.5000

***

Record 4
GGA-PBE Ca3BiAu, relaxed; N(E_F) = 3.4 states/eV/cell; formation energy from the elements = -0.130 eV/atom
1.0
5.9309 0.0000 0.0000
0.0000 5.9309 0.0000
0.0000 0.0000 5.9309
Ca Bi Au
3 1 1
Direct
0.0000 0.0000 0.5000
0.0000 0.5000 0.0000
0.5000 0.0000 0.0000
0.0000 0.0000 0.0000
0.5000 0.5000 0.5000

***

Record 5
GGA-PBE Ca2Bi2Au, relaxed; N(E_F) = 5.9 states/eV/cell; formation energy from the elements = -0.518 eV/atom
1.0
8.0023 0.0000 0.0000
0.0000 8.0023 0.0000
0.0000 0.0000 4.8612
Ca Bi Au
4 4 2
Direct
0.1694 0.3306 0.0000
0.3306 0.8306 0.0000
0.6694 0.1694 0.0000
0.8306 0.6694 0.0000
0.1343 0.6343 0.5000
0.3657 0.1343 0.5000
0.6343 0.8657 0.5000
0.8657 0.3657 0.5000
0.0000 0.0000 0.0000
0.5000 0.5000 0.0000

***

Record 6
GGA-PBE Ca2Bi3Au10, relaxed; N(E_F) = 8.8 states/eV/cell; formation energy from the elements = -0.344 eV/atom
1.0
2.8452 1.6427 23.4813
-2.8452 1.6427 23.4813
0.0000 -3.2854 23.4813
Ca Bi Au
4 6 20
Direct
0.0000 0.0000 0.0000
0.1989 0.1989 0.1989
0.3990 0.3990 0.3990
0.7983 0.7983 0.7983
0.0492 0.0492 0.0492
0.2496 0.2496 0.2496
0.4489 0.4489 0.4489
0.5982 0.5982 0.5982
0.6453 0.6453 0.6453
0.8474 0.8474 0.8474
0.0225 0.5240 0.5240
0.1233 0.1233 0.6261
0.1233 0.6261 0.1233
0.1239 0.1239 0.1239
0.2234 0.7237 0.7237
0.3232 0.3232 0.8251
0.3232 0.8251 0.3232
0.3240 0.3240 0.3240
0.4251 0.9232 0.9232
0.5240 0.0225 0.5240
0.5240 0.5240 0.0225
0.5238 0.5238 0.5238
0.6261 0.1233 0.1233
0.7237 0.2234 0.7237
0.7237 0.7237 0.2234
0.7239 0.7239 0.7239
0.8251 0.3232 0.3232
0.9232 0.4251 0.9232
0.9232 0.9232 0.4251
0.9237 0.9237 0.9237

***

Record 7
GGA-PBE Ca3BiAu, relaxed; N(E_F) = 5.5 states/eV/cell; formation energy from the elements = -0.633 eV/atom
1.0
5.0048 -7.3844 0.0000
5.0048 7.3844 0.0000
0.0000 0.0000 4.5480
Ca Bi Au
6 2 2
Direct
0.1511 0.8489 0.0000
0.1882 0.4343 0.5000
0.4343 0.1882 0.5000
0.5657 0.8118 0.5000
0.8118 0.5657 0.5000
0.8489 0.1511 0.0000
0.0000 0.0000 0.5000
0.5000 0.5000 0.0000
0.0000 0.5000 0.0000
0.5000 0.0000 0.0000

***

Record 8
GGA-PBE Ca6BiAu5, relaxed; N(E_F) = 5.6 states/eV/cell; formation energy from the elements = -0.790 eV/atom
1.0
5.1611 0.0000 0.0000
0.0000 7.4929 0.0000
-2.5469 0.0000 7.8449
Ca Bi Au
6 1 5
Direct
0.0000 0.2380 0.0000
0.0000 0.7620 0.0000
0.3302 0.2439 0.6592
0.3302 0.7561 0.6592
0.6698 0.2439 0.3408
0.6698 0.7561 0.3408
0.5000 0.5000 0.0000
0.1645 0.0000 0.3318
0.1686 0.5000 0.3404
0.5000 0.0000 0.0000
0.8314 0.5000 0.6596
0.8355 0.0000 0.6682

***

no.,calculated density (Mg/m³)
1,6.58
2,7.76
3,5.78
4,4.19
5,7.42
6,13.50
7,5.20
8,7.85